The following is a DFT calculation (PBE) of an optimized crystal structure of La8Cd2Pb.

Values from the calculation:
- energy (eV per atom) = -4.274
- magnetization (μB per atom) = 0.000

Geometry as CIF:
```
data_La8Cd2Pb
_chemical_formula_sum 'La16 Cd4 Pb2'
_space_group_name_H-M_alt 'I m m m'
_space_group_IT_number 71
_space_group_name_Hall '-I 2 2'
_cell_length_a 5.369
_cell_length_b 8.763
_cell_length_c 15.702
_cell_angle_alpha 90.00
_cell_angle_beta 90.00
_cell_angle_gamma 90.00
loop_
_atom_site_label
_atom_site_fract_x
_atom_site_fract_y
_atom_site_fract_z
La1 0.000 0.000 0.136
La2 0.000 0.223 0.342
La3 0.000 0.309 0.000
Cd1 0.000 0.500 0.194
Pb1 0.000 0.500 0.500
```

The following is a DFT calculation (PBE) of an optimized crystal structure of LaCdPb2.

Values from the calculation:
- energy (eV per atom) = -3.422
- magnetization (μB per atom) = 0.000

Geometry as CIF:
```
data_LaCdPb2
_chemical_formula_sum 'La3 Cd3 Pb6'
_space_group_name_H-M_alt 'R -3 m'
_space_group_IT_number 166
_space_group_name_Hall '-R 3 2"'
_cell_length_a 3.6156
_cell_length_b 3.6156
_cell_length_c 31.9444
_cell_angle_alpha 90.00
_cell_angle_beta 90.00
_cell_angle_gamma 120.00
loop_
_atom_site_label
_atom_site_fract_x
_atom_site_fract_y
_atom_site_fract_z
La1 0.0000 0.0000 0.0000
Cd1 0.0000 0.0000 0.5000
Pb1 0.0000 0.0000 0.2438
```

The following is a DFT calculation (PBE) of an optimized crystal structure of La5Cd2Pb.

Values from the calculation:
- energy (eV per atom) = -4.060
- magnetization (μB per atom) = 0.000

Geometry as CIF:
```
data_La5Cd2Pb
_chemical_formula_sum 'La10 Cd4 Pb2'
_space_group_name_H-M_alt 'I 4 m m'
_space_group_IT_number 107
_space_group_name_Hall 'I 4 -2'
_cell_length_a 8.231
_cell_length_b 8.231
_cell_length_c 7.522
_cell_angle_alpha 90.00
_cell_angle_beta 90.00
_cell_angle_gamma 90.00
loop_
_atom_site_label
_atom_site_fract_x
_atom_site_fract_y
_atom_site_fract_z
La1 0.000 0.000 0.000
La2 0.250 0.250 0.249
Cd1 0.000 0.500 0.499
Pb1 0.000 0.000 0.499
```

The following is a DFT calculation (PBE) of an optimized crystal structure of LaCdPb4.

Values from the calculation:
- energy (eV per atom) = -3.536
- magnetization (μB per atom) = 0.000

Geometry as CIF:
```
data_LaCdPb4
_chemical_formula_sum 'La4 Cd4 Pb16'
_space_group_name_H-M_alt 'F -4 3 m'
_space_group_IT_number 216
_space_group_name_Hall 'F -4 2 3'
_cell_length_a 9.162
_cell_length_b 9.162
_cell_length_c 9.162
_cell_angle_alpha 90.00
_cell_angle_beta 90.00
_cell_angle_gamma 90.00
loop_
_atom_site_label
_atom_site_fract_x
_atom_site_fract_y
_atom_site_fract_z
La1 0.000 0.000 0.000
Cd1 0.250 0.250 0.250
Pb1 0.126 0.126 0.626
```

The following is a DFT calculation (PBE) of an optimized crystal structure of LaCdPb.

Values from the calculation:
- energy (eV per atom) = -3.290
- magnetization (μB per atom) = 0.000

Geometry as CIF:
```
data_LaCdPb
_chemical_formula_sum 'La4 Cd4 Pb4'
_space_group_name_H-M_alt 'F -4 3 m'
_space_group_IT_number 216
_space_group_name_Hall 'F -4 2 3'
_cell_length_a 7.521
_cell_length_b 7.521
_cell_length_c 7.521
_cell_angle_alpha 90.00
_cell_angle_beta 90.00
_cell_angle_gamma 90.00
loop_
_atom_site_label
_atom_site_fract_x
_atom_site_fract_y
_atom_site_fract_z
La1 0.000 0.000 0.000
Cd1 0.250 0.250 0.250
Pb1 0.250 0.250 0.750
```

The following is a DFT calculation (PBE) of an optimized crystal structure of LaCdPb.

Values from the calculation:
- energy (eV per atom) = -3.599
- magnetization (μB per atom) = 0.000

Geometry as CIF:
```
data_LaCdPb
_chemical_formula_sum 'La1 Cd1 Pb1'
_space_group_name_H-M_alt 'P 3 m 1'
_space_group_IT_number 156
_cell_length_a 4.9926
_cell_length_b 4.9926
_cell_length_c 4.1434
_cell_angle_alpha 90.00
_cell_angle_beta 90.00
_cell_angle_gamma 120.00
loop_
_space_group_symop_operation_xyz
'x,y,z'
'-y,x-y,z'
'-x+y,-x,z'
'-y,-x,z'
'-x+y,y,z'
'x,x-y,z'
loop_
_atom_site_label
_atom_site_fract_x
_atom_site_fract_y
_atom_site_fract_z
La1 0.0000 0.0000 0.0000
Cd1 0.3333 0.6667 0.5959
Pb1 0.6667 0.3333 0.4077
```

no.,energy of formation (eV per atom)
1,-0.187
2,-0.107
3,-0.288
4,-0.090
5,-0.107
6,-0.416